The following is a PBE calculation of a relaxed Mg5Tc crystal, from Alexandria.

a = 5.2796 Å, b = 5.2796 Å, c = 4.8356 Å
α = 90.00°, β = 90.00°, γ = 120.00°
With the nearest neighbours (Å) after each atom.
Fractional positions:
Mg 0.3103 0.3103 0.0000  10 Mg 2.84-3.16, 2 Tc 2.92
Mg 0.0000 0.6897 0.0000  10 Mg 2.84-3.16, 2 Tc 2.92
Mg 0.6667 0.3333 0.5000  9 Mg 3.03-3.05, 3 Tc 3.05
Mg 0.3333 0.6667 0.5000  9 Mg 3.03-3.05, 3 Tc 3.05
Mg 0.6897 0.0000 0.0000  10 Mg 2.84-3.16, 2 Tc 2.92
Tc 0.0000 0.0000 0.5000  12 Mg 2.92-3.05

Values from the calculation:
- Energy above the lowest structure with this stoichiometry: 0.37 eV per formula unit
- E_form: 0.192 eV/atom
- Mass density: 3.1 g/cm³
- Calculated total energy: -2.864 eV per atom

The following is a PBE calculation of a relaxed Na2YTiMo crystal, from Alexandria.

a = 5.3021 Å, b = 4.5861 Å, c = 5.3021 Å
α = 90.00°, β = 90.00°, γ = 90.00°
With the nearest neighbours (Å) after each atom.
Fractional positions:
Y 0.5000 0.5000 0.5000  8 Na 3.51, 4 Mo 3.75
Ti 0.0000 0.0000 0.0000  2 Mo 2.29
Na 0.5000 0.0000 0.0000  2 Ti 2.65
Na 0.0000 0.0000 0.5000  2 Ti 2.65
Mo 0.0000 0.5000 0.0000  2 Ti 2.29

Values from the calculation:
- E_form: 1.060 eV/atom
- Mass density: 3.6 g/cm³
- Calculated total energy: -4.505 eV per atom

The following is a PBE calculation of a relaxed ScNbAs2Se crystal, from Alexandria.

a = 4.9785 Å, b = 4.9785 Å, c = 4.9365 Å
α = 90.00°, β = 90.00°, γ = 90.00°
With the nearest neighbours (Å) after each atom.
Fractional positions:
Nb 0.5000 0.5000 0.5000  8 As 3.51, 4 Se 3.52
As 0.5000 0.0000 0.0000  2 Sc 2.49
As 0.0000 0.5000 0.0000  2 Sc 2.49
Sc 0.0000 0.0000 0.0000  2 Se 2.47, 4 As 2.49
Se 0.0000 0.0000 0.5000  2 Sc 2.47

Values from the calculation:
- Energy above the lowest structure with this stoichiometry: 3.07 eV per formula unit
- Formation energy without anion corrections: 0.56 eV per atom
- Mass density: 5.0 g/cm³
- Calculated total energy: -5.282 eV per atom

The following is a PBE calculation of a relaxed Ag2MoCl crystal, from Alexandria.

a = 2.8894 Å, b = 2.8894 Å, c = 9.1035 Å
α = 90.00°, β = 90.00°, γ = 112.14°
With the nearest neighbours (Å) after each atom.
Fractional positions:
Ag 0.0000 0.0000 0.0054  2 Cl 2.75, 2 Mo 2.83, 4 Ag 2.89
Ag 0.0000 0.0000 0.4946  2 Cl 2.75, 2 Mo 2.83, 4 Ag 2.89
Cl 0.5000 0.5000 0.2500  4 Ag 2.75, 4 Cl 2.89
Mo 0.5000 0.5000 0.7500  4 Ag 2.83, 4 Mo 2.89

Values from the calculation:
- Energy above the lowest structure with this stoichiometry: 1.01 eV per formula unit
- Formation energy without anion corrections: 0.36 eV per atom
- Mass density: 8.2 g/cm³
- Calculated total energy: -4.231 eV per atom

Question: The lowest mass density belongs to which entry?
Answer: Mg5Tc

Copy entry 3 word for word.
The following is a PBE calculation of a relaxed ScNbAs2Se crystal, from Alexandria.

a = 4.9785 Å, b = 4.9785 Å, c = 4.9365 Å
α = 90.00°, β = 90.00°, γ = 90.00°
With the nearest neighbours (Å) after each atom.
Fractional positions:
Nb 0.5000 0.5000 0.5000  8 As 3.51, 4 Se 3.52
As 0.5000 0.0000 0.0000  2 Sc 2.49
As 0.0000 0.5000 0.0000  2 Sc 2.49
Sc 0.0000 0.0000 0.0000  2 Se 2.47, 4 As 2.49
Se 0.0000 0.0000 0.5000  2 Sc 2.47

Values from the calculation:
- Energy above the lowest structure with this stoichiometry: 3.07 eV per formula unit
- Formation energy without anion corrections: 0.56 eV per atom
- Mass density: 5.0 g/cm³
- Calculated total energy: -5.282 eV per atom

Question: Number 4 is which compound?
Answer: Ag2MoCl